Entry 1:
## GdY2Cu4Sn2Ge2 (PBE)

Data for a geometry-optimized GdY2Cu4Sn2Ge2 structure.

abc: 8.2924 8.2924 8.2924
angles: 149.48 132.24 57.75
Atoms (fractional coordinates):
Cu 0.6518 0.3407 0.3111
Cu 0.9703 0.6593 0.3111
Cu 0.0297 0.3407 0.6889
Cu 0.3482 0.6593 0.6889
Gd 0.0000 0.0000 0.0000
Ge 0.6895 0.5000 0.1895
Ge 0.3105 0.5000 0.8105
Sn 0.2186 0.2186 0.0000
Sn 0.7814 0.7814 0.0000
Y 0.6248 0.1248 0.5000
Y 0.3752 0.8752 0.5000

Output
symmetry = No. 71
E = -5.1217 eV per atom
magnetization = 0.0 μB/cell
crystal system = orthorhombic

***

Entry 2:
## PrMg (PBE)

Data for a geometry-optimized PrMg structure.

abc: 10.8838 4.0445 5.4732
angles: 90.00 90.00 90.00
Atoms (fractional coordinates):
Mg 0.9496 0.0000 0.0000
Mg 0.7435 0.5000 0.0000
Mg 0.1732 0.0000 0.5000
Mg 0.9670 0.5000 0.5000
Pr 0.4932 0.0000 0.0000
Pr 0.1964 0.5000 0.0000
Pr 0.7202 0.0000 0.5000
Pr 0.4235 0.5000 0.5000

Output
symmetry = No. 59
E = -3.1923 eV per atom
magnetization = 0.0 μB/cell
crystal system = orthorhombic

***

Entry 3:
## MgNiHgBi (PBE)

Data for a geometry-optimized MgNiHgBi structure.

abc: 4.9439 4.9439 4.9439
angles: 60.00 60.00 60.00
Atoms (fractional coordinates):
Bi 0.0000 0.0000 0.0000
Hg 0.2500 0.2500 0.2500
Mg 0.5000 0.5000 0.5000
Ni 0.7500 0.7500 0.7500

Output
symmetry = No. 216
E = -2.6662 eV per atom
magnetization = 0.0 μB/cell
crystal system = cubic

***

Entry 4:
## MgSiTcAs (PBE)

Data for a geometry-optimized MgSiTcAs structure.

abc: 4.4742 4.4742 4.4742
angles: 60.00 60.00 60.00
Atoms (fractional coordinates):
As 0.0000 0.0000 0.0000
Mg 0.7500 0.7500 0.7500
Si 0.2500 0.2500 0.2500
Tc 0.5000 0.5000 0.5000

Output
symmetry = No. 216
E = -5.1877 eV per atom
magnetization = 0.1 μB/cell
crystal system = cubic